Record 1
This record from the Alexandria database describes a relaxed structure of InSi4Os. The functional is PBE-GGA.

Cell: 7.2287 7.2287 7.2287 Å, 90.00 90.00 90.00°
Space group F-43m (No. 216)
Asymmetric unit:
1 In 0.0000 0.0000 0.0000 (multiplicity 4)
2 Si 0.1244 0.1244 0.3756 (multiplicity 16)
3 Os 0.2500 0.2500 0.7500 (multiplicity 4)

M_tot: 0.00 μB per cell
Uncorrected formation energy: 0.752 eV per atom


Record 2
This record from the Alexandria database describes a relaxed structure of InSi2Os. The functional is PBE-GGA.

Cell: 5.4039 7.4112 3.1818 Å, 90.00 91.13 90.00°
Space group C2/m (No. 12)
Asymmetric unit:
1 In 0.0000 0.0000 0.0000 (multiplicity 2)
2 Si 0.2500 0.2500 0.5000 (multiplicity 4)
3 Os 0.0000 0.5000 0.0000 (multiplicity 2)

M_tot: 0.00 μB per cell
Uncorrected formation energy: 0.539 eV per atom


Record 3
This record from the Alexandria database describes a relaxed structure of InSi2Os. The functional is PBE-GGA.

Cell: 4.1671 4.1671 3.6658 Å, 90.00 90.00 90.00°
Space group P4/mmm (No. 123)
Asymmetric unit:
1 In 0.0000 0.0000 0.0000 (multiplicity 1)
2 Si 0.0000 0.5000 0.5000 (multiplicity 2)
3 Os 0.5000 0.5000 0.0000 (multiplicity 1)

M_tot: 0.00 μB per cell
Uncorrected formation energy: 0.634 eV per atom


Record 4
This record from the Alexandria database describes a relaxed structure of In2SiOs2. The functional is PBE-GGA.

Cell: 6.3329 6.3329 4.3940 Å, 90.00 90.00 90.00°
Space group P4/mbm (No. 127)
Asymmetric unit:
1 In 0.1643 0.3357 0.0000 (multiplicity 4)
2 Si 0.0000 0.0000 0.5000 (multiplicity 2)
3 Os 0.1489 0.6489 0.5000 (multiplicity 4)

M_tot: 0.00 μB per cell
Uncorrected formation energy: 0.179 eV per atom


no.,DOS(E_F) (states/eV per cell)
1,14.0
2,4.3
3,2.3
4,5.0